Na4SnRh3O8: relaxed, PBE.

## Properties
Formation energy (no corrections) (eV per atom): -1.20

Cell lengths 6.4161, 6.4161, 15.9070 Å; angles 90.00, 90.00, 120.00 degrees
Space group R-3m (No. 166, hexagonal axes)
One atom of each set of equivalent atoms:
Na: 0.0000 0.0000 0.0000 (multiplicity 3)
Na: 0.0000 0.5000 0.0000 (multiplicity 9)
Sn: 0.0000 0.0000 0.5000 (multiplicity 3)
Rh: 0.0000 0.5000 0.5000 (multiplicity 9)
O: 0.0000 0.0000 0.2290 (multiplicity 6)
O: 0.0051 0.5025 0.2355 (multiplicity 18)

YCdF2: relaxed, PBE.

## Properties
ΔE to the lowest computed polymorph (meV per atom): 108
Formation energy (no corrections) (eV per atom): -2.23

Cell lengths 3.2932, 3.2932, 27.7258 Å; angles 90.00, 90.00, 120.00 degrees
Space group R-3m (No. 166, hexagonal axes)
One atom of each set of equivalent atoms:
Y: 0.0000 0.0000 0.0000 (multiplicity 3)
Cd: 0.0000 0.0000 0.5000 (multiplicity 3)
F: 0.0000 0.0000 0.3833 (multiplicity 6)

LiMg2VN4: relaxed, PBE.

## Properties
Formation energy (no corrections) (eV per atom): -0.47

Cell lengths 7.279, 6.031, 4.266 Å; angles 90.00, 90.00, 90.00 degrees
Space group Pmn2_1 (No. 31)
One atom of each set of equivalent atoms:
Li: 0.000 0.168 0.000 (multiplicity 2)
Mg: 0.237 0.324 0.504 (multiplicity 4)
V: 0.000 0.827 0.551 (multiplicity 2)
N: 0.000 0.128 0.496 (multiplicity 2)
N: 0.000 0.826 0.978 (multiplicity 2)
N: 0.220 0.677 0.497 (multiplicity 4)

Rb2LiZn2H6: relaxed, PBE.

Cell lengths 10.031, 5.754, 6.697 Å; angles 90.00, 119.42, 90.00 degrees
Space group C2/m (No. 12)
One atom of each set of equivalent atoms:
Rb: 0.220 0.000 0.165 (multiplicity 4)
Li: 0.000 0.000 0.500 (multiplicity 2)
Zn: 0.073 0.500 0.227 (multiplicity 4)
H: 0.010 0.255 0.284 (multiplicity 8)
H: 0.244 0.000 0.704 (multiplicity 4)

Number 1: total DFT energy (no corrections) -5.63 eV/atom, total moment 0.00 μB/f.u.. Number 2: total DFT energy (no corrections) -5.01 eV/atom, total moment 0.00 μB/f.u.. Number 3: total DFT energy (no corrections) -6.41 eV/atom, total moment 1.36 μB/f.u.. Number 4: total DFT energy (no corrections) -2.53 eV/atom, total moment 0.00 μB/f.u..